MnAl2GaC, optimized geometry, DFT PBE; electronic total energy = -5.204 eV per atom; calculated volume = 79.4 Å³ per cell
1.0
4.628 0.000 0.000
0.000 3.708 0.000
0.000 0.000 4.628
Ga Al Mn C
1 2 1 1
direct
0.500 0.500 0.500
0.500 0.000 0.000
0.000 0.000 0.500
0.000 0.000 0.000
0.000 0.500 0.000



Cs3Pd2I9, optimized geometry, DFT PBE; formation energy from raw total energies = -739 meV per atom; calculated volume = 569.8 Å³ per cell
1.0
-4.686 5.938 2.848
-3.230 -7.188 -1.797
1.745 -3.136 9.410
Pd I Cs
2 9 3
direct
0.333 0.667 0.834
0.667 0.333 0.166
0.500 0.000 0.000
0.172 0.344 0.681
0.656 0.828 0.681
0.828 0.656 0.319
0.172 0.828 0.681
0.500 0.500 0.000
0.828 0.172 0.319
0.000 0.500 0.000
0.344 0.172 0.319
0.000 0.000 0.000
0.333 0.667 0.338
0.667 0.333 0.662



CrWCl2, optimized geometry, DFT PBE; formation energy from raw total energies = 1102 meV per atom; energy above the lowest structure with this stoichiometry = 1264 meV per atom; calculated volume = 140.6 Å³ per cell
1.0
-4.071 -2.022 2.938
3.168 -4.099 1.568
1.002 -0.490 6.037
W Cl Cr
2 4 2
direct
0.000 0.000 0.000
0.750 0.250 0.500
0.151 0.625 0.250
0.599 0.125 0.250
0.875 0.849 0.750
0.375 0.401 0.750
0.500 0.500 0.000
0.250 0.750 0.500



V2CuMo, optimized geometry, DFT PBE; energy above the lowest structure with this stoichiometry = 13 meV per atom; calculated volume = 54.8 Å³ per cell
1.0
-1.518 -1.205 2.571
2.190 -3.482 -0.338
2.907 1.590 2.461
Mo V Cu
1 2 1
direct
0.500 0.500 0.500
0.000 0.000 0.500
0.000 0.500 0.000
0.500 0.000 0.000



AcPr2ZnN4, optimized geometry, DFT PBE; formation energy from raw total energies = -829 meV per atom; calculated volume = 270.1 Å³ per cell
1.0
-3.081 0.682 -1.826
-1.669 -2.819 5.404
-0.811 10.932 5.452
Pr Ac N Zn
4 2 8 2
direct
0.369 0.737 0.949
0.369 0.737 0.551
0.631 0.263 0.449
0.631 0.263 0.051
0.104 0.208 0.750
0.896 0.792 0.250
0.731 0.461 0.876
0.000 0.000 0.500
0.269 0.539 0.376
0.561 0.122 0.250
0.731 0.461 0.624
0.000 0.000 0.000
0.269 0.539 0.124
0.439 0.878 0.750
0.837 0.674 0.750
0.163 0.326 0.250



Ba3TiAs, optimized geometry, DFT PBE; energy above the lowest structure with this stoichiometry = 0 meV per atom; calculated volume = 256.7 Å³ per cell
1.0
6.355 0.000 0.000
0.000 6.355 0.000
0.000 0.000 6.355
Ba Ti As
3 1 1
direct
0.000 0.000 0.500
0.000 0.500 0.000
0.500 0.000 0.000
0.500 0.500 0.500
0.000 0.000 0.000